1) VASP calculation (PBE) on a relaxed Pr2GdY crystal.

```
Pr2GdY
1.0
5.1784 0.0000 0.0000
0.0000 5.1784 0.0000
0.0000 0.0000 5.1084
Pr Gd Y
2 1 1
Cartesian
0.0000 2.5892 0.0000
2.5892 0.0000 0.0000
0.0000 0.0000 2.5542
2.5892 2.5892 2.5542
```

Values from the calculation:
Theoretical density ... 6400 kg/m3
Volume ... 34.25 Å³/atom
Size of the total moment ... 7.315 μB/cell
DOS at the Fermi energy ... 6.35 states/eV/cell


2) VASP calculation (PBE) on a relaxed Pr2GdY crystal.

```
Pr2GdY
1.0
0.0000 4.1013 4.1013
4.1013 0.0000 4.1013
4.1013 4.1013 0.0000
Pr Gd Y
2 1 1
Cartesian
2.0506 2.0506 2.0506
6.1519 6.1519 6.1519
0.0000 0.0000 0.0000
4.1013 4.1013 4.1013
```

Values from the calculation:
Theoretical density ... 6354 kg/m3
Volume ... 34.49 Å³/atom
Size of the total moment ... 7.863 μB/cell
DOS at the Fermi energy ... 8.19 states/eV/cell


Most stable of them? 1).


1) VASP calculation (PBE) on a relaxed Pr2GdZn crystal.

```
Pr2GdZn
1.0
1.8398 1.0622 10.6405
-1.8398 1.0622 10.6405
0.0000 -2.1244 10.6405
Pr Gd Zn
2 1 1
Cartesian
0.0000 0.0000 7.6527
0.0000 0.0000 24.2688
0.0000 0.0000 0.0000
0.0000 0.0000 15.9607
```

Values from the calculation:
Theoretical density ... 6714 kg/m3
Volume ... 31.19 Å³/atom
Size of the total moment ... 7.336 μB/cell
DOS at the Fermi energy ... 5.11 states/eV/cell


2) VASP calculation (PBE) on a relaxed Pr2GdZn crystal.

```
Pr2GdZn
1.0
0.0000 3.8812 3.8812
3.8812 0.0000 3.8812
3.8812 3.8812 0.0000
Pr Gd Zn
2 1 1
Cartesian
1.9406 1.9406 1.9406
5.8218 5.8218 5.8218
0.0000 0.0000 0.0000
3.8812 3.8812 3.8812
```

Values from the calculation:
Theoretical density ... 7164 kg/m3
Volume ... 29.23 Å³/atom
Size of the total moment ... 7.790 μB/cell
DOS at the Fermi energy ... 5.83 states/eV/cell


Most stable of them? 1).


1) VASP calculation (PBE) on a relaxed PrGdZn2 crystal.

```
PrGdZn2
1.0
0.0000 3.6631 3.6631
3.6631 0.0000 3.6631
3.6631 3.6631 0.0000
Pr Gd Zn
1 1 2
Cartesian
0.0000 0.0000 0.0000
3.6631 3.6631 3.6631
1.8315 1.8315 1.8315
5.4946 5.4946 5.4946
```

Values from the calculation:
Theoretical density ... 7246 kg/m3
Volume ... 24.58 Å³/atom
Size of the total moment ... 7.935 μB/cell
DOS at the Fermi energy ... 3.24 states/eV/cell


2) VASP calculation (PBE) on a relaxed PrGdZn2 crystal.

```
PrGdZn2
1.0
1.8747 1.0824 8.9249
-1.8747 1.0824 8.9249
0.0000 -2.1647 8.9249
Pr Gd Zn
1 1 2
Cartesian
0.0000 0.0000 0.0000
0.0000 0.0000 13.3873
0.0000 0.0000 6.6333
0.0000 0.0000 20.1413
```

Values from the calculation:
Theoretical density ... 6556 kg/m3
Volume ... 27.16 Å³/atom
Size of the total moment ... 8.113 μB/cell
DOS at the Fermi energy ... 4.14 states/eV/cell


Most stable of them? 1).


1) VASP calculation (PBE) on a relaxed PrGd2Zr crystal.

```
PrGd2Zr
1.0
4.9213 0.0000 0.0000
0.0000 4.9213 0.0000
0.0000 0.0000 4.9728
Pr Gd Zr
1 2 1
Cartesian
0.0000 0.0000 0.0000
0.0000 2.4606 2.4864
2.4606 0.0000 2.4864
2.4606 2.4606 0.0000
```

Values from the calculation:
Theoretical density ... 7537 kg/m3
Volume ... 30.11 Å³/atom
Size of the total moment ... 14.183 μB/cell
DOS at the Fermi energy ... 4.92 states/eV/cell


2) VASP calculation (PBE) on a relaxed PrGd2Zr crystal.

```
PrGd2Zr
1.0
0.0000 3.9463 3.9463
3.9463 0.0000 3.9463
3.9463 3.9463 0.0000
Pr Gd Zr
1 2 1
Cartesian
0.0000 0.0000 0.0000
1.9731 1.9731 1.9731
5.9194 5.9194 5.9194
3.9463 3.9463 3.9463
```

Values from the calculation:
Theoretical density ... 7385 kg/m3
Volume ... 30.73 Å³/atom
Size of the total moment ... 17.066 μB/cell
DOS at the Fermi energy ... 5.64 states/eV/cell


Most stable of them? 1).


1) VASP calculation (PBE) on a relaxed PrGd2Zr crystal.

```
PrGd2Zr
1.0
3.4582 0.0000 0.0000
0.0000 3.4582 0.0000
0.0000 0.0000 10.1748
Pr Gd Zr
1 2 1
Cartesian
0.0000 0.0000 0.0000
1.7291 1.7291 2.7973
1.7291 1.7291 7.3775
0.0000 0.0000 5.0874
```

Values from the calculation:
Theoretical density ... 7460 kg/m3
Volume ... 30.42 Å³/atom
Size of the total moment ... 14.339 μB/cell
DOS at the Fermi energy ... 5.81 states/eV/cell


2) VASP calculation (PBE) on a relaxed PrGd2Zr crystal.

```
PrGd2Zr
1.0
1.7041 0.9839 12.1904
-1.7041 0.9839 12.1904
0.0000 -1.9677 12.1904
Pr Gd Zr
1 2 1
Cartesian
0.0000 0.0000 0.0000
0.0000 0.0000 15.2030
0.0000 0.0000 21.3683
0.0000 0.0000 18.2856
```

Values from the calculation:
Theoretical density ... 7402 kg/m3
Volume ... 30.66 Å³/atom
Size of the total moment ... 15.092 μB/cell
DOS at the Fermi energy ... 6.14 states/eV/cell


Most stable of them? 1).


1) VASP calculation (PBE) on a relaxed GdPu2Pt crystal.

```
GdPu2Pt
1.0
2.5282 1.4596 4.1403
-2.5282 1.4596 4.1403
0.0000 -2.9193 4.1403
Gd Pu Pt
1 2 1
Cartesian
0.0000 0.0000 0.0000
0.0000 0.0000 3.1044
0.0000 0.0000 9.3165
0.0000 0.0000 6.2105
```

Values from the calculation:
Theoretical density ... 15222 kg/m3
Volume ... 22.92 Å³/atom
Size of the total moment ... 4.617 μB/cell
DOS at the Fermi energy ... 15.16 states/eV/cell


2) VASP calculation (PBE) on a relaxed GdPu2Pt crystal.

```
GdPu2Pt
1.0
3.7202 0.0000 0.0000
0.0000 3.7202 0.0000
0.0000 0.0000 7.2463
Gd Pu Pt
1 2 1
Cartesian
0.0000 0.0000 0.0000
1.8601 1.8601 2.1350
1.8601 1.8601 5.1113
0.0000 0.0000 3.6231
```

Values from the calculation:
Theoretical density ... 13914 kg/m3
Volume ... 25.07 Å³/atom
Size of the total moment ... 4.213 μB/cell
DOS at the Fermi energy ... 14.61 states/eV/cell


Most stable of them? 2).


1) VASP calculation (PBE) on a relaxed GdSc2Pt crystal.

```
GdSc2Pt
1.0
3.3825 0.0000 0.0000
0.0000 3.3825 0.0000
0.0000 0.0000 8.0662
Gd Sc Pt
1 2 1
Cartesian
0.0000 0.0000 0.0000
1.6912 1.6912 2.4863
1.6912 1.6912 5.5799
0.0000 0.0000 4.0331
```

Values from the calculation:
Theoretical density ... 7958 kg/m3
Volume ... 23.07 Å³/atom
Size of the total moment ... 7.980 μB/cell
DOS at the Fermi energy ... 5.16 states/eV/cell


2) VASP calculation (PBE) on a relaxed GdSc2Pt crystal.

```
GdSc2Pt
1.0
1.8280 1.0554 8.9361
-1.8280 1.0554 8.9361
0.0000 -2.1108 8.9361
Gd Sc Pt
1 2 1
Cartesian
0.0000 0.0000 0.0000
0.0000 0.0000 6.0872
0.0000 0.0000 20.7211
0.0000 0.0000 13.4041
```

Values from the calculation:
Theoretical density ... 7099 kg/m3
Volume ... 25.86 Å³/atom
Size of the total moment ... 8.011 μB/cell
DOS at the Fermi energy ... 6.59 states/eV/cell


Most stable of them? 1).


1) VASP calculation (PBE) on a relaxed Gd2SiPt crystal.

```
Gd2SiPt
1.0
3.4864 0.0000 0.0000
0.0000 3.4864 0.0000
0.0000 0.0000 7.2883
Gd Si Pt
2 1 1
Cartesian
0.0000 0.0000 1.8010
0.0000 0.0000 5.4873
1.7432 1.7432 3.6442
1.7432 1.7432 0.0000
```

Values from the calculation:
Theoretical density ... 10078 kg/m3
Volume ... 22.15 Å³/atom
Size of the total moment ... 14.037 μB/cell
DOS at the Fermi energy ... 1.89 states/eV/cell


2) VASP calculation (PBE) on a relaxed Gd2SiPt crystal.

```
Gd2SiPt
1.0
0.0000 3.5532 3.5532
3.5532 0.0000 3.5532
3.5532 3.5532 0.0000
Gd Si Pt
2 1 1
Cartesian
1.7766 1.7766 1.7766
5.3299 5.3299 5.3299
0.0000 0.0000 0.0000
3.5532 3.5532 3.5532
```

Values from the calculation:
Theoretical density ... 9951 kg/m3
Volume ... 22.43 Å³/atom
Size of the total moment ... 14.004 μB/cell
DOS at the Fermi energy ... 1.09 states/eV/cell


Most stable of them? 1).


1) VASP calculation (PBE) on a relaxed GdSn2Pt crystal.

```
GdSn2Pt
1.0
1.7652 1.0191 10.0289
-1.7652 1.0191 10.0289
0.0000 -2.0383 10.0289
Gd Sn Pt
1 2 1
Cartesian
0.0000 0.0000 0.0000
0.0000 0.0000 3.1614
0.0000 0.0000 26.9254
0.0000 0.0000 15.0434
```

Values from the calculation:
Theoretical density ... 9047 kg/m3
Volume ... 27.06 Å³/atom
Size of the total moment ... 7.513 μB/cell
DOS at the Fermi energy ... 3.79 states/eV/cell


2) VASP calculation (PBE) on a relaxed GdSn2Pt crystal.

```
GdSn2Pt
1.0
4.4842 0.0000 0.0000
0.0000 4.4842 0.0000
0.0000 0.0000 4.4797
Gd Sn Pt
1 2 1
Cartesian
0.0000 0.0000 0.0000
0.0000 2.2421 2.2399
2.2421 0.0000 2.2399
2.2421 2.2421 0.0000
```

Values from the calculation:
Theoretical density ... 10872 kg/m3
Volume ... 22.52 Å³/atom
Size of the total moment ... 6.965 μB/cell
DOS at the Fermi energy ... 2.62 states/eV/cell


Most stable of them? 2).


1) VASP calculation (PBE) on a relaxed SrGdPt2 crystal.

```
SrGdPt2
1.0
2.1039 1.2147 6.9841
-2.1039 1.2147 6.9841
0.0000 -2.4294 6.9841
Sr Gd Pt
1 1 2
Cartesian
0.0000 0.0000 0.0000
0.0000 0.0000 10.4761
0.0000 0.0000 5.0290
0.0000 0.0000 15.9233
```

Values from the calculation:
Theoretical density ... 9847 kg/m3
Volume ... 26.77 Å³/atom
Size of the total moment ... 7.170 μB/cell
DOS at the Fermi energy ... 2.28 states/eV/cell


2) VASP calculation (PBE) on a relaxed SrGdPt2 crystal.

```
SrGdPt2
1.0
3.5787 0.0000 0.0000
0.0000 3.5787 0.0000
0.0000 0.0000 7.3520
Sr Gd Pt
1 1 2
Cartesian
0.0000 0.0000 0.0000
0.0000 0.0000 3.6760
1.7894 1.7894 2.0928
1.7894 1.7894 5.2592
```

Values from the calculation:
Theoretical density ... 11199 kg/m3
Volume ... 23.54 Å³/atom
Size of the total moment ... 7.054 μB/cell
DOS at the Fermi energy ... 1.37 states/eV/cell


Most stable of them? 2).


1) VASP calculation (PBE) on a relaxed SrGdPt crystal.

```
SrGdPt
1.0
4.2392 0.0000 0.0000
-2.1196 3.6713 0.0000
0.0000 0.0000 6.7795
Sr Gd Pt
1 1 1
Cartesian
0.0000 0.0000 0.0000
2.1196 1.2238 3.1899
0.0000 2.4475 1.8497
```

Values from the calculation:
Theoretical density ... 6924 kg/m3
Volume ... 35.17 Å³/atom
Size of the total moment ... 7.283 μB/cell
DOS at the Fermi energy ... 4.10 states/eV/cell


2) VASP calculation (PBE) on a relaxed SrGdPt crystal.

```
SrGdPt
1.0
0.0000 3.5732 3.5732
3.5732 0.0000 3.5732
3.5732 3.5732 0.0000
Sr Gd Pt
1 1 1
Cartesian
0.0000 0.0000 0.0000
3.5732 3.5732 3.5732
5.3598 5.3598 5.3598
```

Values from the calculation:
Theoretical density ... 8007 kg/m3
Volume ... 30.41 Å³/atom
Size of the total moment ... 7.232 μB/cell
DOS at the Fermi energy ... 5.54 states/eV/cell


Most stable of them? 1).


1) VASP calculation (PBE) on a relaxed TbGd2Pt crystal.

```
TbGd2Pt
1.0
3.6073 0.0000 0.0000
0.0000 3.6073 0.0000
0.0000 0.0000 8.4341
Tb Gd Pt
1 2 1
Cartesian
0.0000 0.0000 0.0000
1.8036 1.8036 2.5602
1.8036 1.8036 5.8739
0.0000 0.0000 4.2170
```

Values from the calculation:
Theoretical density ... 10115 kg/m3
Volume ... 27.44 Å³/atom
Size of the total moment ... 14.813 μB/cell
DOS at the Fermi energy ... 5.84 states/eV/cell


2) VASP calculation (PBE) on a relaxed TbGd2Pt crystal.

```
TbGd2Pt
1.0
1.8744 1.0822 10.5302
-1.8744 1.0822 10.5302
0.0000 -2.1644 10.5302
Tb Gd Pt
1 2 1
Cartesian
0.0000 0.0000 0.0000
0.0000 0.0000 3.4624
0.0000 0.0000 28.1282
0.0000 0.0000 15.7953
```

Values from the calculation:
Theoretical density ... 8661 kg/m3
Volume ... 32.04 Å³/atom
Size of the total moment ... 15.286 μB/cell
DOS at the Fermi energy ... 4.63 states/eV/cell


Most stable of them? 1).


1) VASP calculation (PBE) on a relaxed GdThPt2 crystal.

```
GdThPt2
1.0
2.0743 1.1976 6.8146
-2.0743 1.1976 6.8146
0.0000 -2.3952 6.8146
Gd Th Pt
1 1 2
Cartesian
0.0000 0.0000 0.0000
0.0000 0.0000 10.2219
0.0000 0.0000 5.0949
0.0000 0.0000 15.3488
```

Values from the calculation:
Theoretical density ... 12743 kg/m3
Volume ... 25.39 Å³/atom
Size of the total moment ... 7.040 μB/cell
DOS at the Fermi energy ... 1.78 states/eV/cell


2) VASP calculation (PBE) on a relaxed GdThPt2 crystal.

```
GdThPt2
1.0
0.0000 3.5847 3.5847
3.5847 0.0000 3.5847
3.5847 3.5847 0.0000
Gd Th Pt
1 1 2
Cartesian
0.0000 0.0000 0.0000
3.5847 3.5847 3.5847
1.7924 1.7924 1.7924
5.3771 5.3771 5.3771
```

Values from the calculation:
Theoretical density ... 14049 kg/m3
Volume ... 23.03 Å³/atom
Size of the total moment ... 7.218 μB/cell
DOS at the Fermi energy ... 2.91 states/eV/cell


Most stable of them? 1).


1) VASP calculation (PBE) on a relaxed GdThPt crystal.

```
GdThPt
1.0
4.7732 0.0000 0.0000
-2.3866 4.1337 0.0000
0.0000 0.0000 3.9796
Gd Th Pt
1 1 1
Cartesian
0.0000 0.0000 0.0000
2.3866 1.3779 1.7470
0.0000 2.7558 2.8802
```

Values from the calculation:
Theoretical density ... 12358 kg/m3
Volume ... 26.17 Å³/atom
Size of the total moment ... 6.999 μB/cell
DOS at the Fermi energy ... 2.05 states/eV/cell


2) VASP calculation (PBE) on a relaxed GdThPt crystal.

```
GdThPt
1.0
0.0000 3.5163 3.5163
3.5163 0.0000 3.5163
3.5163 3.5163 0.0000
Gd Th Pt
1 1 1
Cartesian
0.0000 0.0000 0.0000
3.5163 3.5163 3.5163
1.7582 1.7582 1.7582
```

Values from the calculation:
Theoretical density ... 11159 kg/m3
Volume ... 28.99 Å³/atom
Size of the total moment ... 7.264 μB/cell
DOS at the Fermi energy ... 3.55 states/eV/cell


Most stable of them? 2).


1) VASP calculation (PBE) on a relaxed GdTmPt crystal.

```
GdTmPt
1.0
0.0000 3.4322 3.4322
3.4322 0.0000 3.4322
3.4322 3.4322 0.0000
Gd Tm Pt
1 1 1
Cartesian
0.0000 0.0000 0.0000
3.4322 3.4322 3.4322
1.7161 1.7161 1.7161
```

Values from the calculation:
Theoretical density ... 10704 kg/m3
Volume ... 26.95 Å³/atom
Size of the total moment ... 7.134 μB/cell
DOS at the Fermi energy ... 2.33 states/eV/cell


2) VASP calculation (PBE) on a relaxed GdTmPt crystal.

```
GdTmPt
1.0
4.6066 0.0000 0.0000
-2.3033 3.9895 0.0000
0.0000 0.0000 4.2249
Gd Tm Pt
1 1 1
Cartesian
0.0000 0.0000 0.0000
0.0000 2.6597 2.0565
2.3033 1.3298 2.9413
```

Values from the calculation:
Theoretical density ... 11148 kg/m3
Volume ... 25.88 Å³/atom
Size of the total moment ... 7.352 μB/cell
DOS at the Fermi energy ... 3.09 states/eV/cell


Most stable of them? 1).